# 1
# PBE TmCu8Sn3, relaxed
data_TmCu8Sn3
_symmetry_space_group_name_H-M 'P 3 m 1'
_symmetry_Int_Tables_number 156
_cell_length_a 5.1640
_cell_length_b 5.1640
_cell_length_c 8.2887
_cell_angle_alpha 90.00
_cell_angle_beta 90.00
_cell_angle_gamma 120.00
loop_
_symmetry_equiv_pos_as_xyz
'x,y,z'
'-y,x-y,z'
'-x+y,-x,z'
'-y,-x,z'
'-x+y,y,z'
'x,x-y,z'
loop_
_atom_site_label
_atom_site_fract_x
_atom_site_fract_y
_atom_site_fract_z
Tm1 0.0000 0.0000 0.0000
Cu1 0.9995 0.4998 0.1861
Cu2 0.1648 0.3297 0.6824
Cu3 0.3333 0.6667 0.4372
Cu4 0.3333 0.6667 0.9338
Sn1 0.0000 0.0000 0.3757
Sn2 0.6667 0.3333 0.4882
Sn3 0.6667 0.3333 0.8729
# Calculated formation energy: -0.09 eV/atom
# Total DFT energy (no corrections): -4.196 eV/atom

***

# 2
# PBE UCu2Sn, relaxed
data_UCu2Sn
_symmetry_space_group_name_H-M 'P 4/m m m'
_symmetry_Int_Tables_number 123
_symmetry_space_group_name_Hall '-P 4 2'
_cell_length_a 3.209
_cell_length_b 3.209
_cell_length_c 7.212
_cell_angle_alpha 90.00
_cell_angle_beta 90.00
_cell_angle_gamma 90.00
loop_
_atom_site_label
_atom_site_fract_x
_atom_site_fract_y
_atom_site_fract_z
U1 0.000 0.000 0.000
Cu1 0.500 0.500 0.267
Sn1 0.000 0.000 0.500
# Calculated formation energy: 0.22 eV/atom
# Total DFT energy (no corrections): -5.653 eV/atom

***

# 3
# PBE UCuSn2, relaxed
data_UCuSn2
_symmetry_space_group_name_H-M 'P 4/m m m'
_symmetry_Int_Tables_number 123
_symmetry_space_group_name_Hall '-P 4 2'
_cell_length_a 4.533
_cell_length_b 4.533
_cell_length_c 4.345
_cell_angle_alpha 90.00
_cell_angle_beta 90.00
_cell_angle_gamma 90.00
loop_
_atom_site_label
_atom_site_fract_x
_atom_site_fract_y
_atom_site_fract_z
U1 0.000 0.000 0.000
Cu1 0.500 0.500 0.000
Sn1 0.000 0.500 0.500
# Calculated formation energy: 0.01 eV/atom
# Total DFT energy (no corrections): -5.835 eV/atom

***

# 4
# PBE UCuSn, relaxed
data_UCuSn
_symmetry_space_group_name_H-M 'P 63 m c'
_symmetry_Int_Tables_number 186
_symmetry_space_group_name_Hall 'P 6c -2c'
_cell_length_a 4.9130
_cell_length_b 4.9130
_cell_length_c 5.7804
_cell_angle_alpha 90.00
_cell_angle_beta 90.00
_cell_angle_gamma 120.00
loop_
_atom_site_label
_atom_site_fract_x
_atom_site_fract_y
_atom_site_fract_z
U1 0.0000 0.0000 0.0000
Cu1 0.3333 0.6667 0.2485
Sn1 0.3333 0.6667 0.7499
# Calculated formation energy: -0.05 eV/atom
# Total DFT energy (no corrections): -6.511 eV/atom

***

# 5
# PBE UCuSn2, relaxed
data_UCuSn2
_symmetry_space_group_name_H-M 'R -3 m'
_symmetry_Int_Tables_number 166
_symmetry_space_group_name_Hall '-R 3 2"'
_cell_length_a 3.1407
_cell_length_b 3.1407
_cell_length_c 31.8039
_cell_angle_alpha 90.00
_cell_angle_beta 90.00
_cell_angle_gamma 120.00
loop_
_atom_site_label
_atom_site_fract_x
_atom_site_fract_y
_atom_site_fract_z
U1 0.0000 0.0000 0.0000
Cu1 0.0000 0.0000 0.5000
Sn1 0.0000 0.0000 0.1004
# Calculated formation energy: 0.34 eV/atom
# Total DFT energy (no corrections): -5.503 eV/atom

***

# 6
# PBE UCu5Sn, relaxed
data_UCu5Sn
_symmetry_space_group_name_H-M 'P 63/m m c'
_symmetry_Int_Tables_number 194
_symmetry_space_group_name_Hall '-P 6c 2c'
_cell_length_a 4.9891
_cell_length_b 4.9891
_cell_length_c 20.3994
_cell_angle_alpha 90.00
_cell_angle_beta 90.00
_cell_angle_gamma 120.00
loop_
_atom_site_label
_atom_site_fract_x
_atom_site_fract_y
_atom_site_fract_z
U1 0.0000 0.0000 0.0000
U2 0.3333 0.6667 0.2500
Cu1 0.0000 0.0000 0.2500
Cu2 0.1663 0.3325 0.6479
Cu3 0.3333 0.6667 0.5437
Cu4 0.3333 0.6667 0.7500
Sn1 0.3333 0.6667 0.0852
# Calculated formation energy: 0.00 eV/atom
# Total DFT energy (no corrections): -5.113 eV/atom

***

# 7
# PBE UCu2Sn, relaxed
data_UCu2Sn
_symmetry_space_group_name_H-M 'P 63/m m c'
_symmetry_Int_Tables_number 194
_symmetry_space_group_name_Hall '-P 6c 2c'
_cell_length_a 4.7344
_cell_length_b 4.7344
_cell_length_c 7.9352
_cell_angle_alpha 90.00
_cell_angle_beta 90.00
_cell_angle_gamma 120.00
loop_
_atom_site_label
_atom_site_fract_x
_atom_site_fract_y
_atom_site_fract_z
U1 0.0000 0.0000 0.0000
Cu1 0.3333 0.6667 0.1031
Sn1 0.3333 0.6667 0.7500
# Calculated formation energy: 0.20 eV/atom
# Total DFT energy (no corrections): -5.671 eV/atom

***

# 8
# PBE UCuSn, relaxed
data_UCuSn
_symmetry_space_group_name_H-M 'I 4 m m'
_symmetry_Int_Tables_number 107
_symmetry_space_group_name_Hall 'I 4 -2'
_cell_length_a 3.185
_cell_length_b 3.185
_cell_length_c 12.237
_cell_angle_alpha 90.00
_cell_angle_beta 90.00
_cell_angle_gamma 90.00
loop_
_atom_site_label
_atom_site_fract_x
_atom_site_fract_y
_atom_site_fract_z
U1 0.000 0.000 0.000
Cu1 0.000 0.000 0.659
Sn1 0.000 0.000 0.297
# Calculated formation energy: 0.17 eV/atom
# Total DFT energy (no corrections): -6.288 eV/atom

***

# 9
# PBE VCu2Sn, relaxed
data_VCu2Sn
_symmetry_space_group_name_H-M 'P 4/m m m'
_symmetry_Int_Tables_number 123
_symmetry_space_group_name_Hall '-P 4 2'
_cell_length_a 3.869
_cell_length_b 3.869
_cell_length_c 3.959
_cell_angle_alpha 90.00
_cell_angle_beta 90.00
_cell_angle_gamma 90.00
loop_
_atom_site_label
_atom_site_fract_x
_atom_site_fract_y
_atom_site_fract_z
V1 0.000 0.000 0.000
Cu1 0.000 0.500 0.500
Sn1 0.500 0.500 0.000
# Calculated formation energy: 0.08 eV/atom
# Total DFT energy (no corrections): -5.251 eV/atom

***

# 10
# PBE VCu3Sn, relaxed
data_VCu3Sn
_symmetry_space_group_name_H-M 'P m -3 m'
_symmetry_Int_Tables_number 221
_symmetry_space_group_name_Hall '-P 4 2 3'
_cell_length_a 4.631
_cell_length_b 4.631
_cell_length_c 4.631
_cell_angle_alpha 90.00
_cell_angle_beta 90.00
_cell_angle_gamma 90.00
loop_
_atom_site_label
_atom_site_fract_x
_atom_site_fract_y
_atom_site_fract_z
V1 0.000 0.000 0.000
Cu1 0.000 0.000 0.500
Sn1 0.500 0.500 0.500
# Calculated formation energy: 1.05 eV/atom
# Total DFT energy (no corrections): -4.031 eV/atom
# Offset from the most stable computed form: 0 meV/atom

***

Calculated DOS(E_F), 2.76; 6.83; 6.03; 4.34; 6.06; 9.45; 7.21; 5.46; 2.52; 4.79 states/eV/f.u. (same order as the records).